This record from Alexandria via LeMat-Bulk describes crystalline Tb2CeGe2Rh5 at its relaxed geometry. The functional is PBE.

abc: 3.7418 9.8977 9.8977
angles: 90.00 90.00 90.00
With the nearest neighbours (Å) after each atom.
Fractional coordinates of all 20 atoms:
Tb: 0.0000 0.6701 0.1701  3 Ge 2.85-2.96, 2 Rh 3.03
Tb: 0.0000 0.3299 0.8299  3 Ge 2.85-2.96, 2 Rh 3.03
Tb: 0.0000 0.1701 0.3299  3 Ge 2.85-2.96, 2 Rh 3.03
Tb: 0.0000 0.8299 0.6701  3 Ge 2.85-2.96, 2 Rh 3.03
Ce: 0.0000 0.0000 0.0000  8 Rh 2.89
Ce: 0.0000 0.5000 0.5000  8 Rh 2.89
Ge: 0.0000 0.1261 0.6261  6 Rh 2.53-2.57
Ge: 0.0000 0.8739 0.3739  6 Rh 2.53-2.57
Ge: 0.0000 0.6261 0.8739  6 Rh 2.53-2.57
Ge: 0.0000 0.3739 0.1261  6 Rh 2.53-2.57
Rh: 0.5000 0.2123 0.0686  2 Ge 2.53
Rh: 0.5000 0.7877 0.9314  2 Ge 2.53
Rh: 0.5000 0.0686 0.7877  2 Ge 2.53
Rh: 0.5000 0.7123 0.4314  2 Ge 2.53
Rh: 0.5000 0.9314 0.2123  2 Ge 2.53
Rh: 0.5000 0.2877 0.5686  2 Ge 2.53
Rh: 0.5000 0.5686 0.7123  2 Ge 2.53
Rh: 0.5000 0.4314 0.2877  2 Ge 2.53
Rh: 0.5000 0.5000 0.0000  4 Ge 2.57
Rh: 0.5000 0.0000 0.5000  4 Ge 2.57

The calculation puts the formation energy at -0.837 eV/atom. Its theoretical density is 10.13 g cm⁻³.

---

This record from Alexandria via LeMat-Bulk describes crystalline Th4MnAg at its relaxed geometry. The functional is PBE.

abc: 5.9173 7.3418 7.3419
angles: 90.00 90.00 90.00
With the nearest neighbours (Å) after each atom.
Fractional coordinates of all 12 atoms:
Th: 0.0000 0.1826 0.6446  2 Mn 2.96, 2 Ag 3.29
Th: 0.0000 0.8174 0.3554  2 Mn 2.96, 2 Ag 3.29
Th: 0.0000 0.3554 0.1826  2 Mn 2.96, 2 Ag 3.29
Th: 0.0000 0.6446 0.8174  2 Mn 2.96, 2 Ag 3.29
Th: 0.5000 0.8174 0.6446  2 Mn 2.96, 2 Ag 3.29
Th: 0.5000 0.1826 0.3554  2 Mn 2.96, 2 Ag 3.29
Th: 0.5000 0.6446 0.1826  2 Mn 2.96, 2 Ag 3.29
Th: 0.5000 0.3554 0.8174  2 Mn 2.96, 2 Ag 3.29
Mn: 0.2500 0.5000 0.5000  8 Th 2.96, 2 Mn 2.96
Mn: 0.7500 0.5000 0.5000  8 Th 2.96, 2 Mn 2.96
Ag: 0.2500 0.0000 0.0000  2 Ag 2.96, 8 Th 3.29
Ag: 0.7500 0.0000 0.0000  2 Ag 2.96, 8 Th 3.29

The calculation puts the formation energy at -0.031 eV/atom. Its theoretical density is 11.36 g cm⁻³.

---

This record from Alexandria via LeMat-Bulk describes crystalline Cs2Rb4Te at its relaxed geometry. The functional is PBE.

abc: 7.0480 7.0480 14.5125
angles: 75.95 75.95 90.00
With the nearest neighbours (Å) after each atom.
Fractional coordinates of all 7 atoms:
Cs: 0.6890 0.6890 0.6220  5 Rb 4.96-5.24
Cs: 0.3110 0.3110 0.3780  5 Rb 4.96-5.24
Te: 0.0000 0.0000 0.0000  6 Rb 3.52
Rb: 0.8709 0.8709 0.2583  1 Te 3.52
Rb: 0.1291 0.1291 0.7417  1 Te 3.52
Rb: 0.0000 0.5000 0.0000  2 Te 3.52
Rb: 0.5000 0.0000 0.0000  2 Te 3.52

As for the uncorrected formation energy: -343.0 meV per atom. Its theoretical density is 1.80 g cm⁻³.